YErZn3 | PBE-GGA | relaxed

Calculated values
DFT formation energy, eV per atom: -0.35
VASP energy, Ha/atom: -0.12210
D(E_F), states/eV per cell: 8.929

POSCAR file:
```
YErZn3
1.0
-3.2085 -1.4228 0.8155
1.2076 -3.8292 -1.9299
6.4768 -3.6119 11.2193
Y Er Zn
2 2 6
direct
0.9268 0.7500 0.8536
0.0732 0.2500 0.1464
0.2094 0.7500 0.4188
0.7906 0.2500 0.5812
0.6191 0.7500 0.2382
0.3809 0.2500 0.7618
0.5233 0.7500 0.0467
0.4767 0.2500 0.9533
0.6724 0.2500 0.3448
0.3276 0.7500 0.6552
```